No. 1
The following is a DFT calculation (PBE) of a relaxed InFe2W crystal.

Lattice parameters (Å, degrees): 10.0328 2.9404 4.4461 90.00 116.06 90.00
With the nearest neighbours (Å) after each atom.
Space group Cm (No. 8)
Asymmetric unit:
In 0.0000 0.0000 0.0000 (multiplicity 2)  6 Fe 2.67-2.76, 3 W 2.90-2.99, 2 In 2.94
Fe 0.0223 0.5000 0.5222 (multiplicity 2)  2 Fe 2.46, 2 W 2.65, 4 In 2.67
Fe 0.2407 0.0000 0.7421 (multiplicity 2)  2 Fe 2.46, 4 W 2.68-2.69
W 0.2775 0.5000 0.2792 (multiplicity 2)  6 Fe 2.65-2.69, 2 In 2.90, 2 W 2.94

Summary:
**Energy**: -7.8012 eV per atom

No. 2
The following is a DFT calculation (PBE) of a relaxed Ac5TbPm6 crystal.

Lattice parameters (Å, degrees): 5.3996 10.5100 16.2070 90.00 90.00 90.00
With the nearest neighbours (Å) after each atom.
Space group Immm (No. 71)
Asymmetric unit:
Ac 0.0000 0.0000 0.0000 (multiplicity 2)  8 Pm 3.77-3.79, 4 Ac 3.83
Ac 0.0000 0.0000 0.3377 (multiplicity 4)  8 Pm 3.69-3.86, 2 Tb 3.77, 2 Ac 3.86
Ac 0.0000 0.5000 0.3328 (multiplicity 4)  8 Pm 3.76-3.80, 4 Ac 3.83-3.86
Tb 0.0000 0.5000 0.0000 (multiplicity 2)  8 Pm 3.73-3.74, 4 Ac 3.77
Pm 0.0000 0.2468 0.5000 (multiplicity 4)  6 Ac 3.69-3.80, 2 Tb 3.74, 4 Pm 3.80
Pm 0.0000 0.2524 0.1649 (multiplicity 8)  1 Tb 3.73, 7 Ac 3.75-3.86, 4 Pm 3.80-3.86

Summary:
**Energy**: -4.4330 eV per atom

No. 3
The following is a DFT calculation (PBE) of a relaxed RbSmTiSe4 crystal.

Lattice parameters (Å, degrees): 6.9398 7.0734 9.5508 90.00 108.26 90.00
With the nearest neighbours (Å) after each atom.
Space group P2_1/m (No. 11)
Asymmetric unit:
Rb 0.2357 0.2500 0.4392 (multiplicity 2)  8 Se 3.42-3.78
Sm 0.2829 0.2500 0.9540 (multiplicity 2)  6 Se 2.99-3.02
Ti 0.2711 0.7500 0.1690 (multiplicity 2)  4 Se 2.35-2.42
Se 0.0629 0.7500 0.9219 (multiplicity 2)  1 Ti 2.35
Se 0.0652 0.7500 0.3258 (multiplicity 2)  1 Ti 2.37
Se 0.4889 0.5071 0.7925 (multiplicity 4)  1 Ti 2.42

Summary:
**Energy**: -5.3825 eV per atom
**Formation energy (no corrections)**: -980 kJ/mol of formula units

No. 4
The following is a DFT calculation (PBE) of a relaxed Pm2PdPt2 crystal.

Lattice parameters (Å, degrees): 4.1075 6.6844 8.0728 90.00 90.00 90.00
With the nearest neighbours (Å) after each atom.
Space group Immm (No. 71)
Asymmetric unit:
Pm 0.0000 0.0000 0.2224 (multiplicity 4)  6 Pt 2.99-3.05, 2 Pd 3.04
Pd 0.0000 0.5000 0.0000 (multiplicity 2)  4 Pt 2.85, 4 Pm 3.04
Pt 0.0000 0.2962 0.5000 (multiplicity 4)  1 Pt 2.73, 2 Pd 2.85, 6 Pm 2.99-3.05

Summary:
**Distance to the lowest polymorph of the same formula**: 0.000 eV/atom
**Energy**: -6.3796 eV per atom

No. 5
The following is a DFT calculation (PBE) of a relaxed CsYN2F crystal.

Lattice parameters (Å, degrees): 4.4774 4.4774 4.7483 90.00 90.00 90.00
With the nearest neighbours (Å) after each atom.
Space group P4/mmm (No. 123)
Asymmetric unit:
Cs 0.0000 0.0000 0.0000 (multiplicity 1)  4 N 2.24, 2 F 2.37
Y 0.5000 0.5000 0.5000 (multiplicity 1)  4 F 3.17, 8 N 3.26
N 0.0000 0.5000 0.0000 (multiplicity 2)  2 Cs 2.24
F 0.0000 0.0000 0.5000 (multiplicity 1)  2 Cs 2.37

Summary:
**Distance to the lowest polymorph of the same formula**: 1.509 eV/atom
**Energy**: -4.3476 eV per atom
**Formation energy (no corrections)**: 396 kJ/mol of formula units